(1)
Compound: Ac2SiHg
Source: Alexandria via LeMat-Bulk
Functional: GGA-PBEsol
Structure: relaxed

Values from the calculation:
space group = No. 225
V = 29.3 Å³/atom
D(E_F) = 4.26 states/eV/cell
energy relative to the elements, uncorrected = -0.444 eV per atom

Lattice parameters (Å, degrees): 5.492 5.492 5.492 60.00 60.00 60.00
Positions (direct):
Ac  0.250  0.250  0.250
Ac  0.750  0.750  0.750
Si  0.000  0.000  0.000
Hg  0.500  0.500  0.500

(2)
Compound: La2Ni
Source: Alexandria via LeMat-Bulk
Functional: GGA-PBEsol
Structure: relaxed

Values from the calculation:
VASP energy = -5.768 eV/atom
space group = No. 140
V = 25.2 Å³/atom
D(E_F) = 7.07 states/eV/cell

Lattice parameters (Å, degrees): 5.826 5.826 5.826 106.90 106.90 114.74
Positions (direct):
La  0.182  0.682  0.864
La  0.318  0.182  0.500
La  0.682  0.818  0.500
La  0.818  0.318  0.136
Ni  0.250  0.250  0.000
Ni  0.750  0.750  0.000